# 1
ZrBe2Ir2: optimized geometry, PBE.

N(E_F): 2.24 states/eV/cell
Space group: I4/mmm, No. 139
VASP energy: -7.394 eV per atom
Calculated formation energy: -649 meV/atom
Theoretical density: 11.797 g/cm³
Size of the total moment: 0.0 μB per formula unit

Unit cell a=5.1197 b=5.1197 c=5.1197 alpha=133.46 beta=133.46 gamma=67.94
Atoms (fractional coordinates):
Zr (0.0000, 0.0000, 0.0000)
Be (0.3691, 0.3691, 0.0000)
Be (0.6309, 0.6309, 0.0000)
Ir (0.2500, 0.7500, 0.5000)
Ir (0.7500, 0.2500, 0.5000)


# 2
MnCrC: optimized geometry, PBE.

N(E_F): 2.74 states/eV/cell
Space group: Cm, No. 8
VASP energy: -9.093 eV per atom
Calculated formation energy: 246 meV/atom
Theoretical density: 6.846 g/cm³
Size of the total moment: 0.6 μB per formula unit

Unit cell a=3.2179 b=3.2179 c=3.2130 alpha=108.95 beta=108.95 gamma=71.03
Atoms (fractional coordinates):
Mn (0.0000, 0.0000, 0.0000)
Cr (0.4504, 0.4504, 0.5467)
C (0.7255, 0.7255, 0.2724)


# 3
Nd4Tm: optimized geometry, PBE.

N(E_F): 6.04 states/eV/cell
Space group: R-3m, No. 166
VASP energy: -4.694 eV per atom
Calculated formation energy: 14 meV/atom
Theoretical density: 7.262 g/cm³
Size of the total moment: 0.0 μB per formula unit

Unit cell a=14.9787 b=14.9787 c=14.9787 alpha=13.97 beta=13.97 gamma=13.97
Atoms (fractional coordinates):
Nd (0.1019, 0.1019, 0.1019)
Nd (0.2995, 0.2995, 0.2995)
Nd (0.7005, 0.7005, 0.7005)
Nd (0.8981, 0.8981, 0.8981)
Tm (0.5000, 0.5000, 0.5000)